## a
# Cs2SiAs2

Crystalline Cs2SiAs2 at its relaxed geometry (GGA-PBEsol, Alexandria).

Output
Space-group type: No. 127
Crystal system: tetragonal
Magnetic moment (Bohr magnetons per cell): 0.00

a = 6.9501 Å, b = 6.9501 Å, c = 5.9560 Å
α = 90.00°, β = 90.00°, γ = 90.00°
Atoms (fractional coordinates):
1 Cs 0.1832 0.3168 0.0000
2 Cs 0.3168 0.8168 0.0000
3 Cs 0.6832 0.1832 0.0000
4 Cs 0.8168 0.6832 0.0000
5 Si 0.0000 0.0000 0.5000
6 Si 0.5000 0.5000 0.5000
7 As 0.1261 0.6261 0.5000
8 As 0.3739 0.1261 0.5000
9 As 0.6261 0.8739 0.5000
10 As 0.8739 0.3739 0.5000

## b
# Cs2SiAs2

Crystalline Cs2SiAs2 at its relaxed geometry (GGA-PBEsol, Alexandria).

Output
Space-group type: No. 72
Crystal system: orthorhombic
Magnetic moment (Bohr magnetons per cell): 0.00

a = 8.7342 Å, b = 8.7342 Å, c = 8.7342 Å
α = 128.92°, β = 68.97°, γ = 136.94°
Atoms (fractional coordinates):
1 Cs 0.1449 0.1676 0.3125
2 Cs 0.3551 0.6676 0.0227
3 Cs 0.6449 0.3324 0.9773
4 Cs 0.8551 0.8324 0.6875
5 Si 0.2500 0.7500 0.5000
6 Si 0.7500 0.2500 0.5000
7 As 0.0929 0.6559 0.7488
8 As 0.4071 0.1559 0.5630
9 As 0.5929 0.8441 0.4370
10 As 0.9071 0.3441 0.2512

It turns out b is the most stable, with the second structure 0.410 eV/atom higher.